[1]
A geometry-optimized YZnInS3 structure. Source: the Open Quantum Materials Database, functional PBE.

Computed properties:
E = -4.9271 eV/atom
symmetry = No. 62

Unit cell a=11.2922 b=4.0702 c=11.8509 alpha=90.00 beta=90.00 gamma=90.00
Positions (direct):
In  0.8394  0.5000  0.9839
In  0.3394  0.5000  0.5161
In  0.6606  0.0000  0.4839
In  0.1606  0.0000  0.0161
Y  0.5220  0.0000  0.8299
Y  0.0220  0.0000  0.6701
Y  0.4780  0.5000  0.1701
Y  0.9780  0.5000  0.3299
S  0.0432  0.5000  0.8279
S  0.1016  0.0000  0.4401
S  0.7250  0.5000  0.3010
S  0.6016  0.0000  0.0599
S  0.8984  0.5000  0.5599
S  0.7750  0.0000  0.8010
S  0.2250  0.5000  0.1990
S  0.9568  0.0000  0.1721
S  0.2750  0.0000  0.6990
S  0.3984  0.5000  0.9401
S  0.4568  0.0000  0.3279
S  0.5432  0.5000  0.6721
Zn  0.2480  0.5000  0.8054
Zn  0.2520  0.0000  0.3054
Zn  0.7480  0.5000  0.6946
Zn  0.7520  0.0000  0.1946

---

[2]
A geometry-optimized Zr3AlTl2PdPt2 structure. Source: the Open Quantum Materials Database, functional PBE.

Computed properties:
E = -6.3756 eV/atom
symmetry = No. 38

Unit cell a=3.6455 b=7.5123 c=7.5123 alpha=121.02 beta=90.00 gamma=90.00
Positions (direct):
Pd  0.5000  0.9705  0.9705
Pt  0.0000  0.3585  0.6739
Pt  0.0000  0.6739  0.3585
Tl  0.0000  0.9989  0.2660
Tl  0.0000  0.2660  0.9989
Zr  0.5000  0.4110  0.4110
Zr  0.5000  0.9891  0.5969
Zr  0.5000  0.5969  0.9891
Al  0.0000  0.7351  0.7351

---

[3]
A geometry-optimized TbCo4Sn2Ge4 structure. Source: the Open Quantum Materials Database, functional PBE.

Computed properties:
E = -5.7585 eV/atom
symmetry = No. 121

Unit cell a=6.2896 b=6.2896 c=6.2896 alpha=116.73 beta=116.73 gamma=95.77
Positions (direct):
Ge  0.8749  0.8749  0.3542
Ge  0.4793  0.1251  0.0000
Ge  0.1251  0.4793  0.0000
Ge  0.5207  0.5207  0.6458
Co  0.7583  0.4278  0.0000
Co  0.4278  0.7583  0.0000
Co  0.5722  0.5722  0.3305
Co  0.2417  0.2417  0.6695
Sn  0.0000  0.5000  0.5000
Sn  0.5000  0.0000  0.5000
Tb  0.0000  0.0000  0.0000

---

[4]
A geometry-optimized NbIn2Hg structure. Source: the Open Quantum Materials Database, functional PBE.

Computed properties:
E = -3.4629 eV/atom
symmetry = No. 216

Unit cell a=5.0123 b=5.0123 c=5.0123 alpha=60.00 beta=60.00 gamma=60.00
Last column: magnetic moment on the atom in μB.
Positions (direct):
In  0.7500  0.7500  0.7500  0.02
In  0.0000  0.0000  0.0000  0.00
Hg  0.2500  0.2500  0.2500  0.02
Nb  0.5000  0.5000  0.5000  1.80

---

[5]
A geometry-optimized LaPrBrNCl2 structure. Source: the Open Quantum Materials Database, functional PBE.

Computed properties:
E = -5.9342 eV/atom
symmetry = No. 12

Unit cell a=8.8758 b=8.8758 c=11.3073 alpha=120.18 beta=120.18 gamma=26.70
Positions (direct):
Br  0.7691  0.7691  0.8788
Br  0.2309  0.2309  0.1212
Pr  0.5840  0.5840  0.9525
Pr  0.4160  0.4160  0.0475
La  0.8621  0.8621  0.7074
La  0.1379  0.1379  0.2926
Cl  0.0444  0.0444  0.7529
Cl  0.9556  0.9556  0.2471
Cl  0.6661  0.6661  0.5057
Cl  0.3339  0.3339  0.4943
N  0.5757  0.5757  0.1550
N  0.4243  0.4243  0.8450

---

[6]
A geometry-optimized TcOsPd2 structure. Source: the Open Quantum Materials Database, functional PBE.

Computed properties:
E = -7.5764 eV/atom
symmetry = No. 216

Unit cell a=4.3964 b=4.3964 c=4.3964 alpha=60.00 beta=60.00 gamma=60.00
Last column: magnetic moment on the atom in μB.
Positions (direct):
Tc  0.2500  0.2500  0.2500  0.37
Os  0.0000  0.0000  0.0000  0.22
Pd  0.5000  0.5000  0.5000  0.10
Pd  0.7500  0.7500  0.7500  0.06